(1)
Crystalline Sc2CuTc at its relaxed geometry, computed with PBE.

Structure (POSCAR):
```
Sc2CuTc
1.0
-2.0292 2.0292 8.9810
2.0292 -2.0292 8.9810
2.0292 2.0292 -8.9810
Sc Cu Tc
4 2 2
Cartesian
3.0438 0.9896 -2.2453 Sc
0.9896 1.0146 2.2453 Sc
-1.0146 1.0396 6.7358 Sc
1.0396 1.0146 11.2263 Sc
2.0292 0.0000 4.4905 Cu
0.0000 0.0000 8.9810 Cu
0.0000 0.0000 0.0000 Tc
0.0000 2.0292 4.4905 Tc
```

**SG**: I-42d, No. 122
**Energy of formation from the pure elements**: 0.481 eV per atom

(2)
Crystalline ErNb2C at its relaxed geometry, computed with PBE.

Structure (POSCAR):
```
ErNb2C
1.0
1.5878 0.9167 8.5004
-1.5878 0.9167 8.5004
0.0000 -1.8335 8.5004
Er Nb C
1 2 1
Cartesian
0.0000 0.0000 0.0000 Er
0.0000 0.0000 3.0548 Nb
0.0000 0.0000 22.4464 Nb
0.0000 0.0000 12.7506 C
```

**SG**: R-3m, No. 166
**Energy of formation from the pure elements**: -0.010 eV per atom

(3)
Crystalline ReOs2Rh at its relaxed geometry, computed with PBE.

Structure (POSCAR):
```
ReOs2Rh
1.0
2.7277 0.0000 0.0000
0.0000 2.7277 0.0000
0.0000 0.0000 7.7713
Re Os Rh
1 2 1
Cartesian
0.0000 0.0000 0.0000 Re
0.0000 0.0000 3.9220 Os
1.3639 1.3639 5.8023 Os
1.3639 1.3639 1.9391 Rh
```

**E above lowest polymorph**: 13.5 meV/atom
**SG**: P4mm, No. 99
**Energy of formation from the pure elements**: 0.051 eV per atom

(4)
Crystalline ReAg2Ru at its relaxed geometry, computed with PBE.

Structure (POSCAR):
```
ReAg2Ru
1.0
-3.7249 3.7249 2.5510
3.7249 -3.7249 2.5510
3.7249 3.7249 -2.5510
Re Ag Ru
2 4 2
Cartesian
0.0000 0.0000 0.0000 Re
0.0000 3.7249 1.2755 Re
5.5874 1.8546 -0.6377 Ag
1.8546 1.8625 0.6377 Ag
-1.8625 1.8703 1.9132 Ag
1.8703 1.8625 3.1887 Ag
3.7249 0.0000 1.2755 Ru
0.0000 0.0000 2.5510 Ru
```

**E above lowest polymorph**: 1122.4 meV/atom
**SG**: I-42d, No. 122
**Energy of formation from the pure elements**: 1.371 eV per atom

(5)
Crystalline Ti4Si2C at its relaxed geometry, computed with PBE.

Structure (POSCAR):
```
Ti4Si2C
1.0
-1.9889 1.9889 6.7133
1.9889 -1.9889 6.7133
1.9889 1.9889 -6.7133
Ti Si C
4 2 1
Cartesian
1.9889 0.0000 0.0000 Ti
0.0000 0.0000 2.1884 Ti
0.0000 1.9889 0.0000 Ti
0.0000 0.0000 11.2382 Ti
0.0000 0.0000 4.8103 Si
0.0000 0.0000 8.6164 Si
0.0000 0.0000 0.0000 C
```

**E above lowest polymorph**: 49.1 meV/atom
**ΔE_f (raw)**: -57 kJ per mole of atoms
**SG**: I4/mmm, No. 139

(6)
Crystalline BaEr2Mg9 at its relaxed geometry, computed with PBE.

Structure (POSCAR):
```
BaEr2Mg9
1.0
3.0786 1.7774 9.9755
-3.0786 1.7774 9.9755
0.0000 -3.5549 9.9755
Ba Er Mg
1 2 9
Cartesian
0.0000 0.0000 0.0000 Ba
0.0000 0.0000 4.4747 Er
0.0000 0.0000 25.4517 Er
-1.5673 -0.9049 12.5757 Mg
0.0000 0.0000 10.0074 Mg
0.0000 -1.8097 17.3507 Mg
-1.5673 0.9049 17.3507 Mg
0.0000 0.0000 14.9632 Mg
1.5673 -0.9049 12.5757 Mg
0.0000 1.8097 12.5757 Mg
0.0000 0.0000 19.9189 Mg
1.5673 0.9049 17.3507 Mg
```

**SG**: R-3m, No. 166
**Energy of formation from the pure elements**: -0.052 eV per atom

(7)
Crystalline Ce5GaPb4 at its relaxed geometry, computed with PBE.

Structure (POSCAR):
```
Ce5GaPb4
1.0
3.5316 0.0000 0.0000
0.0000 3.5316 0.0000
0.0000 0.0000 22.6671
Ce Ga Pb
5 1 4
Cartesian
0.0000 0.0000 0.0000 Ce
0.0000 0.0000 4.6626 Ce
0.0000 0.0000 9.3768 Ce
0.0000 0.0000 13.2902 Ce
0.0000 0.0000 18.0044 Ce
1.7658 1.7658 11.3335 Ga
1.7658 1.7658 2.3298 Pb
1.7658 1.7658 6.9986 Pb
1.7658 1.7658 15.6685 Pb
1.7658 1.7658 20.3373 Pb
```

**SG**: P4/mmm, No. 123
**Energy of formation from the pure elements**: -0.407 eV per atom

(8)
Crystalline Nd5Sm3Mg2 at its relaxed geometry, computed with PBE.

Structure (POSCAR):
```
Nd5Sm3Mg2
1.0
-4.2122 11.1322 3.5356
4.2122 -11.1322 3.5356
4.2122 11.1322 -3.5356
Nd Sm Mg
10 6 4
Cartesian
4.2122 -3.6572 1.7678 Nd
1.3957 4.8771 0.0000 Nd
0.0000 0.0000 1.7678 Nd
5.6080 6.2551 0.0000 Nd
4.2122 3.6572 1.7678 Nd
0.0000 7.4750 1.7678 Nd
-1.3957 4.8771 3.5356 Nd
0.0000 0.0000 5.3034 Nd
2.8165 6.2551 3.5356 Nd
0.0000 14.7894 1.7678 Nd
6.9123 2.6531 0.0000 Sm
4.2122 0.0000 1.7678 Sm
2.7001 8.4791 0.0000 Sm
1.5121 2.6531 3.5356 Sm
0.0000 11.1322 1.7678 Sm
-2.7001 8.4791 3.5356 Sm
2.0322 1.7636 0.0000 Mg
2.0322 -1.7636 3.5356 Mg
2.1800 12.8958 0.0000 Mg
2.1800 9.3686 3.5356 Mg
```

**SG**: Ibam, No. 72
**Energy of formation from the pure elements**: 0.107 eV per atom

(9)
Crystalline Mn2TlAs at its relaxed geometry, computed with PBE.

Structure (POSCAR):
```
Mn2TlAs
1.0
3.2610 0.0000 0.0000
0.0000 3.1518 0.0000
-1.4071 0.0000 7.1034
Mn Tl As
2 1 1
Cartesian
-0.0375 0.0000 1.2995 Mn
1.8913 0.0000 5.8039 Mn
0.9269 1.5759 3.5517 Tl
1.6305 1.5759 0.0000 As
```

**E above lowest polymorph**: 65.7 meV/atom
**SG**: P2/m, No. 10
**Energy of formation from the pure elements**: 0.265 eV per atom

(10)
Crystalline YVCuSn2 at its relaxed geometry, computed with PBE.

Structure (POSCAR):
```
YVCuSn2
1.0
5.0236 0.0000 0.0000
0.0000 5.0236 0.0000
0.0000 0.0000 4.7312
Y V Cu Sn
1 1 1 2
Cartesian
0.0000 0.0000 0.0000 Y
2.5118 2.5118 2.3656 V
2.5118 2.5118 0.0000 Cu
0.0000 2.5118 2.3656 Sn
2.5118 0.0000 2.3656 Sn
```

**SG**: P4/mmm, No. 123
**Energy of formation from the pure elements**: 0.189 eV per atom

(11)
Crystalline Er2NpTlO8 at its relaxed geometry, computed with PBE.

Structure (POSCAR):
```
Er2NpTlO8
1.0
3.4383 -3.6204 0.0000
3.4383 3.6204 0.0000
0.0000 0.0000 7.1321
Er Np Tl O
2 1 1 8
Cartesian
0.0000 0.0000 1.7688 Er
0.0000 0.0000 5.3633 Er
3.4383 0.0000 3.5660 Np
3.4383 0.0000 0.0000 Tl
1.3666 0.0000 0.0000 O
1.4077 0.0000 3.5660 O
3.4383 1.3782 2.0750 O
3.4383 1.3782 5.0571 O
3.4383 -1.3782 2.0750 O
3.4383 -1.3782 5.0571 O
5.4688 0.0000 3.5660 O
5.5099 0.0000 0.0000 O
```

**ΔE_f (raw)**: -250 kJ per mole of atoms
**SG**: Cmmm, No. 65

(12)
Crystalline VGaSbI2 at its relaxed geometry, computed with PBE.

Structure (POSCAR):
```
VGaSbI2
1.0
5.5944 0.0000 0.0000
0.0000 5.5944 0.0000
0.0000 0.0000 5.3768
V Ga Sb I
1 1 1 2
Cartesian
0.0000 0.0000 0.0000 V
2.7972 2.7972 2.6884 Ga
2.7972 2.7972 0.0000 Sb
0.0000 2.7972 2.6884 I
2.7972 0.0000 2.6884 I
```

**E above lowest polymorph**: 574.8 meV/atom
**ΔE_f (raw)**: 73 kJ per mole of atoms
**SG**: P4/mmm, No. 123